YMnGe2: optimized geometry, PBE-GGA.

Formation enthalpy at 0 K, kJ/mol of atoms: -9.2
Electronic total energy, eV per atom: -6.312

Lattice parameters (Å, degrees): 6.5535 6.5535 6.5535 90.00 90.00 90.00
Closest atoms and distances in Å follow each position.
Fractional positions:
1 Y 0.0000 0.0000 0.0000  8 Ge 2.84
2 Y 0.0000 0.5000 0.5000  8 Ge 2.84
3 Y 0.5000 0.0000 0.5000  8 Ge 2.84
4 Y 0.5000 0.5000 0.0000  8 Ge 2.84
5 Mn 0.0000 0.0000 0.5000  8 Ge 2.84
6 Mn 0.0000 0.5000 0.0000  8 Ge 2.84
7 Mn 0.5000 0.0000 0.0000  8 Ge 2.84
8 Mn 0.5000 0.5000 0.5000  8 Ge 2.84
9 Ge 0.2500 0.2500 0.2500  4 Mn 2.84, 4 Y 2.84
10 Ge 0.2500 0.2500 0.7500  4 Y 2.84, 4 Mn 2.84
11 Ge 0.2500 0.7500 0.2500  4 Y 2.84, 4 Mn 2.84
12 Ge 0.2500 0.7500 0.7500  4 Mn 2.84, 4 Y 2.84
13 Ge 0.7500 0.2500 0.2500  4 Y 2.84, 4 Mn 2.84
14 Ge 0.7500 0.2500 0.7500  4 Mn 2.84, 4 Y 2.84
15 Ge 0.7500 0.7500 0.2500  4 Mn 2.84, 4 Y 2.84
16 Ge 0.7500 0.7500 0.7500  4 Y 2.84, 4 Mn 2.84


Y2Mn3Ge4: optimized geometry, PBE-GGA.

Formation enthalpy at 0 K, kJ/mol of atoms: -42.5
Electronic total energy, eV per atom: -6.985

Lattice parameters (Å, degrees): 7.9805 7.9805 7.4666 90.00 90.00 138.48
Closest atoms and distances in Å follow each position.
Fractional positions:
1 Y 0.1119 0.8881 0.9109  8 Ge 2.99-3.14, 4 Mn 3.18-3.28
2 Y 0.3881 0.6119 0.4109  8 Ge 2.99-3.14, 4 Mn 3.18-3.28
3 Y 0.6119 0.3881 0.5891  8 Ge 2.99-3.14, 4 Mn 3.18-3.28
4 Y 0.8881 0.1119 0.0891  8 Ge 2.99-3.14, 4 Mn 3.18-3.28
5 Mn 0.0000 0.0000 0.5000  4 Ge 2.46
6 Mn 0.0351 0.4649 0.7500  5 Ge 2.47-2.62
7 Mn 0.4649 0.0351 0.2500  5 Ge 2.47-2.62
8 Mn 0.5000 0.5000 0.0000  4 Ge 2.46
9 Mn 0.5351 0.9649 0.7500  5 Ge 2.47-2.62
10 Mn 0.9649 0.5351 0.2500  5 Ge 2.47-2.62
11 Ge 0.1877 0.8123 0.5402  5 Mn 2.56-2.82
12 Ge 0.2006 0.2994 0.7500  3 Mn 2.46-2.47
13 Ge 0.2994 0.2006 0.2500  3 Mn 2.46-2.47
14 Ge 0.3123 0.6877 0.0402  5 Mn 2.56-2.82
15 Ge 0.6877 0.3123 0.9598  5 Mn 2.56-2.82
16 Ge 0.7006 0.7994 0.7500  3 Mn 2.46-2.47
17 Ge 0.7994 0.7006 0.2500  3 Mn 2.46-2.47
18 Ge 0.8123 0.1877 0.4598  5 Mn 2.56-2.82


YMnGe3: optimized geometry, PBE-GGA.

Formation enthalpy at 0 K, kJ/mol of atoms: 96.6
Electronic total energy, eV per atom: -4.896

Lattice parameters (Å, degrees): 5.4768 5.4768 5.4768 90.00 90.00 90.00
Closest atoms and distances in Å follow each position.
Fractional positions:
1 Y 0.0000 0.0000 0.0000  6 Ge 2.74
2 Mn 0.5000 0.5000 0.5000  12 Ge 3.87
3 Ge 0.0000 0.0000 0.5000  2 Y 2.74
4 Ge 0.0000 0.5000 0.0000  2 Y 2.74
5 Ge 0.5000 0.0000 0.0000  2 Y 2.74


YMnGe3: optimized geometry, PBE-GGA.

Formation enthalpy at 0 K, kJ/mol of atoms: -2.2
Electronic total energy, eV per atom: -5.920

Lattice parameters (Å, degrees): 4.6617 4.6617 4.6617 90.00 90.00 90.00
Closest atoms and distances in Å follow each position.
Fractional positions:
1 Y 0.0000 0.0000 0.0000  12 Ge 3.30
2 Mn 0.5000 0.5000 0.5000  6 Ge 2.33
3 Ge 0.0000 0.5000 0.5000  2 Mn 2.33
4 Ge 0.5000 0.0000 0.5000  2 Mn 2.33
5 Ge 0.5000 0.5000 0.0000  2 Mn 2.33


Q: Which formula does entry 4 have?
A: YMnGe3


Q: formation enthalpy at 0 K of number 2 (Y2Mn3Ge4)?
A: -42.5 kJ/mol of atoms


Q: The lowest formation enthalpy at 0 K belongs to which entry?
A: Y2Mn3Ge4


Q: What is the electronic total energy in the third record?
A: -4.896 eV per atom